[1]
{
  "formula": "Ba2SrSn3Pd4",
  "functional": "PBE",
  "state": "relaxed",
  "cell": [[4.836, 0.000, 0.000], [0.000, 4.836, 0.000], [0.000, 0.000, 11.358]],
  "species": ["Ba", "Ba", "Sr", "Sn", "Sn", "Sn", "Pd", "Pd", "Pd", "Pd"],
  "frac_coords": [[0.000, 0.500, 0.231], [0.500, 0.000, 0.769], [0.000, 0.000, 0.500], [0.000, 0.500, 0.888], [0.500, 0.000, 0.112], [0.500, 0.500, 0.500], [0.000, 0.000, 0.000], [0.000, 0.500, 0.650], [0.500, 0.000, 0.350], [0.500, 0.500, 0.000]],
  "formation_energy_ev_per_fu": -6.9,
  "sg": "P-4m2 (115)"
}



[2]
{
  "formula": "KTl2Rh",
  "functional": "PBE",
  "state": "relaxed",
  "cell": [[1.777, 1.026, 9.793], [-1.777, 1.026, 9.793], [0.000, -2.052, 9.793]],
  "species": ["K", "Tl", "Tl", "Rh"],
  "frac_coords": [[0.000, 0.000, 0.000], [0.233, 0.233, 0.233], [0.767, 0.767, 0.767], [0.500, 0.500, 0.500]],
  "formation_energy_ev_per_fu": 0.5,
  "sg": "R-3m (166)"
}



[3]
{
  "formula": "CsTlSnPSe",
  "functional": "PBE",
  "state": "relaxed",
  "cell": [[7.736, -2.076, 0.000], [7.736, 2.076, 0.000], [-0.795, 0.000, 6.074]],
  "species": ["Cs", "Tl", "Sn", "P", "Se"],
  "frac_coords": [[0.000, 0.000, 0.000], [0.758, 0.758, 0.614], [0.725, 0.725, 0.106], [0.335, 0.335, 0.166], [0.393, 0.393, 0.539]],
  "sg": "Cm (8)",
  "formation_energy_uncorrected_ev_per_atom": -0.278
}



Which calculated total energy belongs to each record? In order, -4.52 -3.16 -3.50 eV/atom.
Which magnetization belongs to each record? In order, 0.0 0.0 0.0 Bohr magnetons per cell.